# 1
PBE SrPtSe, optimized geometry; size of the total moment = 0.0 μB per formula unit; ΔE_f (raw) = -0.78 eV per atom; electronic total energy = -4.51 eV per atom
1.0
5.4098 0.0000 0.0000
0.0000 8.9847 0.0000
0.0000 0.0000 6.1826
Sr Pt Se
4 4 4
Cartesian
0.0000 0.0000 0.0000 Sr
0.0000 4.4923 0.0000 Sr
2.7049 0.0000 3.0913 Sr
2.7049 4.4923 3.0913 Sr
0.0000 2.2462 2.2499 Pt
0.0000 6.7385 3.9327 Pt
2.7049 2.2462 0.8414 Pt
2.7049 6.7385 5.3412 Pt
1.3524 2.2462 4.6370 Se
1.3524 6.7385 1.5457 Se
4.0573 2.2462 4.6370 Se
4.0573 6.7385 1.5457 Se

***

# 2
PBE SrPt2Se, optimized geometry; size of the total moment = 0.0 μB per formula unit; ΔE_f (raw) = -0.57 eV per atom; electronic total energy = -4.88 eV per atom
1.0
4.2247 0.0000 0.0000
0.0000 3.8053 0.0000
-1.0323 0.0000 5.6374
Sr Pt Se
1 2 1
Cartesian
0.0000 0.0000 0.0000 Sr
-0.4208 1.9026 3.3342 Pt
1.4184 0.0000 3.0223 Pt
2.1513 1.9026 1.4794 Se

***

# 3
PBE SrPtSe, optimized geometry; size of the total moment = 0.0 μB per formula unit; ΔE_f (raw) = -1.11 eV per atom; electronic total energy = -4.84 eV per atom
1.0
8.9659 0.0000 0.0000
0.0000 8.4608 0.0000
-1.9828 0.0000 4.0280
Sr Pt Se
4 4 4
Cartesian
0.0000 2.0892 0.0000 Sr
0.0000 6.3716 0.0000 Sr
4.4830 2.1412 0.0000 Sr
4.4830 6.3196 0.0000 Sr
0.2775 4.2304 2.6003 Pt
2.2226 0.0000 1.4276 Pt
4.7605 0.0000 2.6003 Pt
6.7056 4.2304 1.4276 Pt
0.3642 0.0000 3.0097 Se
2.1359 4.2304 1.0183 Se
4.8472 4.2304 3.0097 Se
6.6189 0.0000 1.0183 Se

***

# 4
PBE SrPtSe, optimized geometry; size of the total moment = 0.0 μB per formula unit; ΔE_f (raw) = -1.02 eV per atom; electronic total energy = -4.76 eV per atom
1.0
6.2668 0.0000 0.0000
0.0000 4.5757 0.0000
0.0000 0.0000 11.4273
Sr Pt Se
4 4 4
Cartesian
1.4289 1.1439 1.3824 Sr
1.7045 3.4318 7.0960 Sr
4.5623 1.1439 4.3313 Sr
4.8379 3.4318 10.0449 Sr
1.3726 1.1439 4.5474 Pt
1.7608 3.4318 10.2610 Pt
4.5060 1.1439 1.1663 Pt
4.8942 3.4318 6.8799 Pt
1.1980 1.1439 9.7015 Se
1.9354 3.4318 3.9878 Se
4.3314 1.1439 7.4395 Se
5.0688 3.4318 1.7258 Se

***

# 5
PBE SrPtSe, optimized geometry; size of the total moment = 0.0 μB per formula unit; ΔE_f (raw) = -1.10 eV per atom; electronic total energy = -4.84 eV per atom
1.0
4.5133 0.0000 0.0000
0.0000 4.2527 0.0000
-0.8477 0.0000 7.9649
Sr Pt Se
2 2 2
Cartesian
0.0000 0.0000 0.0000 Sr
1.8328 0.0000 3.9824 Sr
-0.4082 2.1263 5.4000 Pt
4.0738 2.1263 2.5649 Pt
1.8216 2.1263 1.6114 Se
1.8441 2.1263 6.3534 Se

***

# 6
PBE SrPt2Se, optimized geometry; size of the total moment = 0.0 μB per formula unit; ΔE_f (raw) = -0.38 eV per atom; electronic total energy = -4.69 eV per atom
1.0
4.1502 0.0000 0.0000
0.0000 4.1841 0.0000
0.0000 0.0000 4.6872
Sr Pt Se
1 2 1
Cartesian
0.0000 0.0000 0.0000 Sr
0.0000 2.0920 2.3436 Pt
2.0751 0.0000 2.3436 Pt
2.0751 2.0920 0.0000 Se

***

# 7
PBE SrPtSe, optimized geometry; size of the total moment = 0.0 μB per formula unit; ΔE_f (raw) = -1.10 eV per atom; electronic total energy = -4.84 eV per atom
1.0
4.6143 0.0000 0.0000
-1.6807 4.3389 0.0000
-0.1330 -2.2652 8.2684
Sr Pt Se
2 2 2
Cartesian
0.0000 0.0000 0.0000 Sr
0.2241 0.6853 4.7823 Sr
-0.2555 2.2980 2.1603 Pt
2.2614 0.5432 2.2216 Pt
2.3083 -0.8121 6.4964 Se
2.0312 2.9142 2.7590 Se

***

# 8
PBE SrPtSe, optimized geometry; size of the total moment = 0.0 μB per formula unit; ΔE_f (raw) = -1.06 eV per atom; electronic total energy = -4.79 eV per atom
1.0
4.2243 0.0000 0.0000
0.0037 4.6606 0.0000
0.0047 1.8357 8.0244
Sr Pt Se
2 2 2
Cartesian
0.0000 0.0000 0.0000 Sr
0.0079 1.8274 3.4362 Sr
2.1205 3.9876 2.5675 Pt
2.1276 4.5961 5.1158 Pt
2.1168 2.2593 5.7617 Se
2.1152 2.4390 0.6642 Se

***

# 9
PBE SrPtSe, optimized geometry; size of the total moment = 0.0 μB per formula unit; ΔE_f (raw) = -1.14 eV per atom; electronic total energy = -4.88 eV per atom
1.0
4.4309 0.0000 0.0000
-2.2155 3.8373 0.0000
0.0000 0.0000 8.4491
Sr Pt Se
2 2 2
Cartesian
0.0000 0.0000 0.0000 Sr
0.0000 0.0000 4.2246 Sr
0.0000 2.5582 2.1123 Pt
2.2155 1.2791 6.3369 Pt
0.0000 2.5582 6.3369 Se
2.2155 1.2791 2.1123 Se

***

# 10
PBE SrPt2Se, optimized geometry; size of the total moment = 0.0 μB per formula unit; ΔE_f (raw) = -0.23 eV per atom; electronic total energy = -4.54 eV per atom
1.0
6.9143 0.0000 0.0000
0.0000 6.9143 0.0000
0.0000 0.0000 6.9143
Sr Pt Se
4 8 4
Cartesian
0.0000 0.0000 0.0000 Sr
0.0000 3.4571 3.4571 Sr
3.4571 0.0000 3.4571 Sr
3.4571 3.4571 0.0000 Sr
0.0000 0.0000 3.4571 Pt
0.0000 3.4571 0.0000 Pt
1.7286 1.7286 5.1857 Pt
1.7286 5.1857 1.7286 Pt
3.4571 0.0000 0.0000 Pt
3.4571 3.4571 3.4571 Pt
5.1857 1.7286 1.7286 Pt
5.1857 5.1857 5.1857 Pt
1.7286 1.7286 1.7286 Se
1.7286 5.1857 5.1857 Se
5.1857 1.7286 5.1857 Se
5.1857 5.1857 1.7286 Se

***

# 11
PBE SrPt2Se, optimized geometry; size of the total moment = 0.0 μB per formula unit; ΔE_f (raw) = -0.56 eV per atom; electronic total energy = -4.87 eV per atom
1.0
3.8089 0.0000 0.0000
0.0000 5.3624 0.0000
0.0000 0.0000 8.9134
Sr Pt Se
2 4 2
Cartesian
0.0000 0.0000 0.0000 Sr
1.9044 2.6812 4.4567 Sr
0.0000 0.0000 4.2002 Pt
0.0000 2.6812 1.5317 Pt
1.9044 0.0000 5.9884 Pt
1.9044 2.6812 8.6569 Pt
0.0000 2.6812 7.0619 Se
1.9044 0.0000 2.6052 Se

***

# 12
PBE SrPt2Se, optimized geometry; size of the total moment = 0.0 μB per formula unit; ΔE_f (raw) = -0.45 eV per atom; electronic total energy = -4.76 eV per atom
1.0
3.7648 0.0000 0.0000
0.0000 3.7648 0.0000
0.0000 0.0000 6.2034
Sr Pt Se
1 2 1
Cartesian
0.0000 0.0000 0.0000 Sr
0.0000 0.0000 2.9063 Pt
1.8824 1.8824 2.2600 Pt
1.8824 1.8824 4.7637 Se